Below is a relaxed structure of Hf2Si2Sb, with properties calculated at the GGA-PBE level.

Cell lengths 7.1758, 7.1758, 3.6493 Å; angles 90.00, 90.00, 90.00 degrees
Space group P4/mbm (No. 127)
Asymmetric unit:
Hf 0.1820 0.3180 0.0000 (multiplicity 4)
Si 0.1169 0.6169 0.5000 (multiplicity 4)
Sb 0.0000 0.0000 0.5000 (multiplicity 2)

Calculated values
Total DFT energy (no corrections) = -7.289 eV/atom
Formation energy (no corrections) = -313.9 meV per atom
D(E_F) = 0.6228 states/eV/atom
Polymorph energy (0 for the lowest one) = 0.000 eV per atom
Total moment = 0.0 μB per formula unit

=====

Below is a relaxed structure of Hf6SiSb3, with properties calculated at the GGA-PBE level.

Cell lengths 6.6187, 7.6521, 11.1225 Å; angles 90.00, 126.47, 90.00 degrees
Space group P2_1/c (No. 14)
Asymmetric unit:
Hf 0.0147 0.0722 0.2375 (multiplicity 4)
Hf 0.1911 0.6877 0.0599 (multiplicity 4)
Hf 0.3988 0.1505 0.0474 (multiplicity 4)
Si 0.0000 0.0000 0.0000 (multiplicity 2)
Sb 0.3187 0.1361 0.7392 (multiplicity 4)
Sb 0.5000 0.0000 0.5000 (multiplicity 2)

Calculated values
Total DFT energy (no corrections) = -8.057 eV/atom
Formation energy (no corrections) = -306.2 meV per atom
D(E_F) = 0.6032 states/eV/atom
Total moment = 0.0 μB per formula unit

=====

Below is a relaxed structure of HfSiSb2, with properties calculated at the GGA-PBE level.

Cell lengths 6.4210, 6.4210, 12.5909 Å; angles 90.00, 90.00, 90.00 degrees
Space group I-42d (No. 122)
Asymmetric unit:
Hf 0.0000 0.0000 0.0000 (multiplicity 4)
Si 0.0000 0.0000 0.5000 (multiplicity 4)
Sb 0.2350 0.2500 0.6250 (multiplicity 8)

Calculated values
Total DFT energy (no corrections) = -5.566 eV/atom
Formation energy (no corrections) = 339.3 meV per atom
D(E_F) = 0.3630 states/eV/atom
Total moment = 0.0 μB per formula unit

=====

Copy entry 2 word for word.
Below is a relaxed structure of Hf6SiSb3, with properties calculated at the GGA-PBE level.

Cell lengths 6.6187, 7.6521, 11.1225 Å; angles 90.00, 126.47, 90.00 degrees
Space group P2_1/c (No. 14)
Asymmetric unit:
Hf 0.0147 0.0722 0.2375 (multiplicity 4)
Hf 0.1911 0.6877 0.0599 (multiplicity 4)
Hf 0.3988 0.1505 0.0474 (multiplicity 4)
Si 0.0000 0.0000 0.0000 (multiplicity 2)
Sb 0.3187 0.1361 0.7392 (multiplicity 4)
Sb 0.5000 0.0000 0.5000 (multiplicity 2)

Calculated values
Total DFT energy (no corrections) = -8.057 eV/atom
Formation energy (no corrections) = -306.2 meV per atom
D(E_F) = 0.6032 states/eV/atom
Total moment = 0.0 μB per formula unit

=====

D(E_F) of number 1 (Hf2Si2Sb)? 0.6228 states/eV/atom